Entry 1:
Density functional theory data (PBE) for an optimized crystal structure of NbCd3Pb.

Cell lengths 5.4054, 5.4054, 5.4054 Å; angles 90.00, 90.00, 90.00 degrees
Closest atoms and distances in Å follow each position.
Positions (direct):
Pb 0.5000 0.5000 0.5000  12 Cd 3.82
Nb 0.0000 0.0000 0.0000  6 Cd 2.70
Cd 0.0000 0.5000 0.0000  2 Nb 2.70
Cd 0.0000 0.0000 0.5000  2 Nb 2.70
Cd 0.5000 0.0000 0.0000  2 Nb 2.70

Offset from the most stable computed form   0.0 meV/atom
D(E_F)   0.65 states/eV per atom
Space group   Pm-3m


Entry 2:
Density functional theory data (PBE) for an optimized crystal structure of YNbTe2.

Cell lengths 9.6345, 9.6345, 9.6345 Å; angles 24.64, 24.64, 24.64 degrees
Closest atoms and distances in Å follow each position.
Positions (direct):
Y 0.5000 0.5000 0.5000  6 Te 3.04
Nb 0.0000 0.0000 0.0000  2 Te 2.77
Te 0.9010 0.9010 0.9010  1 Nb 2.77, 3 Y 3.04
Te 0.0990 0.0990 0.0990  1 Nb 2.77, 3 Y 3.04

Offset from the most stable computed form   593.7 meV/atom
D(E_F)   1.17 states/eV per atom
Space group   R-3m
Formation energy without anion corrections   -0.1 eV per formula unit


> Number 1 is which compound?

NbCd3Pb


> What is the formula in the first record?

NbCd3Pb


> Look up the offset from the most stable computed form of the first one.

0.0 meV/atom


Please write out number 2 again, unchanged.
Density functional theory data (PBE) for an optimized crystal structure of YNbTe2.

Cell lengths 9.6345, 9.6345, 9.6345 Å; angles 24.64, 24.64, 24.64 degrees
Closest atoms and distances in Å follow each position.
Positions (direct):
Y 0.5000 0.5000 0.5000  6 Te 3.04
Nb 0.0000 0.0000 0.0000  2 Te 2.77
Te 0.9010 0.9010 0.9010  1 Nb 2.77, 3 Y 3.04
Te 0.0990 0.0990 0.0990  1 Nb 2.77, 3 Y 3.04

Offset from the most stable computed form   593.7 meV/atom
D(E_F)   1.17 states/eV per atom
Space group   R-3m
Formation energy without anion corrections   -0.1 eV per formula unit